Entry 1:
Here is a relaxed structure of AcPmPr14 from Alexandria via LeMat-Bulk. Energies are from PBE.

Density of states at the Fermi level in states/eV per cell: 29.4
Calculated total energy in eV/atom: -4.699
E_form in eV/atom: 0.04

abc: 7.4844 7.4844 12.1643
angles: 90.00 90.00 120.00
Last column: nearest neighbours and their distance in Å.
Element x y z (fractional)
Ac1 0.6667 0.3333 0.0000  10 Pr 3.74-3.76, 2 Pm 3.74
Pm1 0.1656 0.8344 0.0000  10 Pr 3.73-3.76, 2 Ac 3.74
Pr1 0.6666 0.3334 0.5000  12 Pr 3.71-3.74
Pr2 0.1670 0.8330 0.5000  12 Pr 3.71-3.75
Pr3 0.1656 0.3322 0.0000  8 Pr 3.72-3.76, 2 Pm 3.73-3.76, 2 Ac 3.74-3.75
Pr4 0.1674 0.3343 0.5000  12 Pr 3.70-3.76
Pr5 0.6678 0.8344 0.0000  8 Pr 3.72-3.76, 2 Pm 3.73-3.76, 2 Ac 3.74-3.75
Pr6 0.6657 0.8326 0.5000  12 Pr 3.70-3.76
Pr7 0.3318 0.1656 0.7482  10 Pr 3.71-3.76, 1 Pm 3.74, 1 Ac 3.75
Pr8 0.3318 0.1656 0.2518  10 Pr 3.71-3.76, 1 Pm 3.74, 1 Ac 3.75
Pr9 0.8344 0.6682 0.7482  10 Pr 3.71-3.76, 1 Pm 3.74, 1 Ac 3.75
Pr10 0.8344 0.6682 0.2518  10 Pr 3.71-3.76, 1 Pm 3.74, 1 Ac 3.75
Pr11 0.8344 0.1656 0.7474  11 Pr 3.70-3.76, 1 Ac 3.76
Pr12 0.8344 0.1656 0.2526  11 Pr 3.70-3.76, 1 Ac 3.76
Pr13 0.3333 0.6667 0.7512  11 Pr 3.72-3.74, 1 Pm 3.73
Pr14 0.3333 0.6667 0.2488  11 Pr 3.72-3.74, 1 Pm 3.73

Entry 2:
Here is a relaxed structure of SmTmTlTe from Alexandria via LeMat-Bulk. Energies are from PBE.

Density of states at the Fermi level in states/eV per cell: 1.9
Energy relative to the elements, uncorrected in meV per atom: -795
Calculated total energy in eV/atom: -4.469

abc: 4.2020 4.2020 8.2377
angles: 75.22 75.22 60.00
Last column: nearest neighbours and their distance in Å.
Element x y z (fractional)
Sm1 0.4990 0.4990 0.5029  3 Te 3.16, 3 Tl 3.18
Tm1 0.0011 0.0011 0.9968  3 Te 3.06, 3 Tl 3.10
Tl1 0.2530 0.2530 0.2411  3 Tm 3.10, 3 Sm 3.18
Te1 0.7469 0.7469 0.7592  3 Tm 3.06, 3 Sm 3.16

Entry 3:
Here is a relaxed structure of Ho3Sn2Ru2 from Alexandria via LeMat-Bulk. Energies are from PBE.

Density of states at the Fermi level in states/eV per cell: 15.9
Calculated total energy in eV/atom: -6.345
E_form in eV/atom: -0.59

abc: 5.8260 7.9054 13.9355
angles: 90.00 90.00 90.00
Last column: nearest neighbours and their distance in Å.
Element x y z (fractional)
Ho1 0.1729 0.6028 0.0909  3 Ru 2.86-2.98, 2 Sn 3.18-3.19
Ho2 0.8271 0.3972 0.5909  3 Ru 2.86-2.98, 2 Sn 3.18-3.19
Ho3 0.8271 0.1028 0.4091  3 Ru 2.86-2.98, 2 Sn 3.18-3.19
Ho4 0.1729 0.8972 0.9091  3 Ru 2.86-2.98, 2 Sn 3.18-3.19
Ho5 0.8271 0.3972 0.9091  3 Ru 2.86-2.98, 2 Sn 3.18-3.19
Ho6 0.1729 0.6028 0.4091  3 Ru 2.86-2.98, 2 Sn 3.18-3.19
Ho7 0.1729 0.8972 0.5909  3 Ru 2.86-2.98, 2 Sn 3.18-3.19
Ho8 0.8271 0.1028 0.0909  3 Ru 2.86-2.98, 2 Sn 3.18-3.19
Ho9 0.3916 0.2374 0.2500  4 Ru 3.08-3.14, 3 Sn 3.14-3.21
Ho10 0.6084 0.7626 0.7500  4 Ru 3.08-3.14, 3 Sn 3.14-3.21
Ho11 0.6084 0.7374 0.2500  4 Ru 3.08-3.14, 3 Sn 3.14-3.21
Ho12 0.3916 0.2626 0.7500  4 Ru 3.08-3.14, 3 Sn 3.14-3.21
Sn1 0.3278 0.2500 0.0000  4 Ru 2.72
Sn2 0.6722 0.7500 0.5000  4 Ru 2.72
Sn3 0.6722 0.7500 0.0000  4 Ru 2.72
Sn4 0.3278 0.2500 0.5000  4 Ru 2.72
Sn5 0.8978 0.3966 0.2500  2 Ru 2.69
Sn6 0.1022 0.6034 0.7500  2 Ru 2.69
Sn7 0.1022 0.8966 0.2500  2 Ru 2.69
Sn8 0.8978 0.1034 0.7500  2 Ru 2.69
Ru1 0.6324 0.4510 0.0947  3 Sn 2.69-2.72, 3 Ho 2.86-2.98
Ru2 0.3676 0.5490 0.5947  3 Sn 2.69-2.72, 3 Ho 2.86-2.98
Ru3 0.3676 0.9510 0.4053  3 Sn 2.69-2.72, 3 Ho 2.86-2.98
Ru4 0.6324 0.0490 0.9053  3 Sn 2.69-2.72, 3 Ho 2.86-2.98
Ru5 0.3676 0.5490 0.9053  3 Sn 2.69-2.72, 3 Ho 2.86-2.98
Ru6 0.6324 0.4510 0.4053  3 Sn 2.69-2.72, 3 Ho 2.86-2.98
Ru7 0.6324 0.0490 0.5947  3 Sn 2.69-2.72, 3 Ho 2.86-2.98
Ru8 0.3676 0.9510 0.0947  3 Sn 2.69-2.72, 3 Ho 2.86-2.98

Entry 4:
Here is a relaxed structure of Tc from Alexandria via LeMat-Bulk. Energies are from PBE.

Relative energy among the computed polymorphs in meV per atom: 709.7
Density of states at the Fermi level in states/eV per cell: 1.9
Calculated total energy in eV/atom: -9.656
E_form in eV/atom: 0.71

abc: 4.7615 3.6462 3.6462
angles: 44.61 49.24 49.24
Last column: nearest neighbours and their distance in Å.
Element x y z (fractional)
Tc1 0.7500 0.2860 0.2140  4 Tc 2.40-2.66
Tc2 0.2500 0.7140 0.7860  4 Tc 2.40-2.66

Entry 5:
Here is a relaxed structure of Ta3Au from Alexandria via LeMat-Bulk. Energies are from PBE.

Relative energy among the computed polymorphs in meV per atom: 136.2
Density of states at the Fermi level in states/eV per cell: 8.0
Calculated total energy in eV/atom: -9.624
E_form in eV/atom: 0.08

abc: 4.9020 5.1341 5.7755
angles: 90.00 90.00 90.00
Last column: nearest neighbours and their distance in Å.
Element x y z (fractional)
Ta1 0.5000 0.6720 0.0000  8 Ta 2.85-3.04, 4 Au 2.89-2.97
Ta2 0.0000 0.8489 0.2504  8 Ta 2.85-3.04, 4 Au 2.94-3.02
Ta3 0.5000 0.1511 0.2496  8 Ta 2.85-3.04, 4 Au 2.94-3.02
Ta4 0.0000 0.3280 0.5000  8 Ta 2.85-3.04, 4 Au 2.89-2.97
Ta5 0.0000 0.8489 0.7496  8 Ta 2.85-3.04, 4 Au 2.94-3.02
Ta6 0.5000 0.1511 0.7504  8 Ta 2.85-3.04, 4 Au 2.94-3.02
Au1 0.0000 0.3466 0.0000  12 Ta 2.89-3.02
Au2 0.5000 0.6534 0.5000  12 Ta 2.89-3.02

Entry 6:
Here is a relaxed structure of KOsCl2 from Alexandria via LeMat-Bulk. Energies are from PBE.

Relative energy among the computed polymorphs in meV per atom: 353.4
Density of states at the Fermi level in states/eV per cell: 1.8
Energy relative to the elements, uncorrected in meV per atom: 216
Calculated total energy in eV/atom: -3.789

abc: 8.7413 8.7413 8.7413
angles: 25.34 25.34 25.34
Last column: nearest neighbours and their distance in Å.
Element x y z (fractional)
K1 0.0000 0.0000 0.0000  2 Cl 3.15
Os1 0.5000 0.5000 0.5000  6 Cl 2.46
Cl1 0.8760 0.8760 0.8760  3 Os 2.46
Cl2 0.1240 0.1240 0.1240  3 Os 2.46

Entry 7:
Here is a relaxed structure of Cd3InO from Alexandria via LeMat-Bulk. Energies are from PBE.

Relative energy among the computed polymorphs in meV per atom: 814.0
Density of states at the Fermi level in states/eV per cell: 16.2
Energy relative to the elements, uncorrected in meV per atom: 685
Calculated total energy in eV/atom: -1.403

abc: 5.4242 5.4242 5.4242
angles: 90.00 90.00 90.00
Last column: nearest neighbours and their distance in Å.
Element x y z (fractional)
Cd1 0.0000 0.5000 0.0000  2 In 2.71
Cd2 0.0000 0.0000 0.5000  2 In 2.71
Cd3 0.5000 0.0000 0.0000  2 In 2.71
O1 0.5000 0.5000 0.5000  12 Cd 3.84
In1 0.0000 0.0000 0.0000  6 Cd 2.71

Entry 8:
Here is a relaxed structure of Pm3ThN4 from Alexandria via LeMat-Bulk. Energies are from PBE.

Relative energy among the computed polymorphs in meV per atom: 0.0
Density of states at the Fermi level in states/eV per cell: 1.8
Energy relative to the elements, uncorrected in meV per atom: -1518
Calculated total energy in eV/atom: -8.390

abc: 3.6346 6.2751 6.2751
angles: 109.38 90.00 90.00
Last column: nearest neighbours and their distance in Å.
Element x y z (fractional)
N1 0.0000 0.2429 0.2429  2 Th 2.53, 4 Pm 2.56-2.60
N2 0.5000 0.7549 0.2451  1 Th 2.51, 5 Pm 2.57-2.61
N3 0.0000 0.7571 0.7571  2 Th 2.53, 4 Pm 2.56-2.60
N4 0.5000 0.2451 0.7549  1 Th 2.51, 5 Pm 2.57-2.61
Th1 0.5000 0.0000 0.0000  6 N 2.51-2.53
Pm1 0.0000 0.0000 0.5000  6 N 2.56-2.57
Pm2 0.5000 0.5000 0.5000  6 N 2.60-2.61
Pm3 0.0000 0.5000 0.0000  6 N 2.56-2.57

Entry 9:
Here is a relaxed structure of CsSbRhO6 from Alexandria via LeMat-Bulk. Energies are from PBE.

Density of states at the Fermi level in states/eV per cell: 3.9
Energy relative to the elements, uncorrected in meV per atom: -1022
Calculated total energy in eV/atom: -5.697

abc: 5.3340 5.3340 6.8348
angles: 90.00 90.00 60.00
Last column: nearest neighbours and their distance in Å.
Element x y z (fractional)
Cs1 0.0000 0.0000 0.0000  6 O 3.09
Sb1 0.6666 0.6667 0.5000  6 O 2.03
Rh1 0.3333 0.3333 0.5000  6 O 1.97
O1 0.0089 0.3827 0.3358  1 Rh 1.97, 1 Sb 2.03
O2 0.3827 0.0089 0.6642  1 Rh 1.97, 1 Sb 2.03
O3 0.6084 0.3827 0.6642  1 Rh 1.97, 1 Sb 2.03
O4 0.0089 0.6084 0.6642  1 Rh 1.97, 1 Sb 2.03
O5 0.3827 0.6084 0.3358  1 Rh 1.97, 1 Sb 2.03
O6 0.6084 0.0089 0.3358  1 Rh 1.97, 1 Sb 2.03

Entry 10:
Here is a relaxed structure of YTmAu2 from Alexandria via LeMat-Bulk. Energies are from PBE.

Relative energy among the computed polymorphs in meV per atom: 8.6
Density of states at the Fermi level in states/eV per cell: 2.5
Calculated total energy in eV/atom: -5.240
E_form in eV/atom: -0.87

abc: 5.0668 5.0668 5.0668
angles: 60.00 60.00 60.00
Last column: nearest neighbours and their distance in Å.
Element x y z (fractional)
Y1 0.5000 0.5000 0.5000  8 Au 3.10
Tm1 0.0000 0.0000 0.0000  8 Au 3.10
Au1 0.2500 0.2500 0.2500  4 Tm 3.10, 4 Y 3.10
Au2 0.7500 0.7500 0.7500  4 Y 3.10, 4 Tm 3.10

Entry 11:
Here is a relaxed structure of Cd5AgHg3 from Alexandria via LeMat-Bulk. Energies are from PBE.

Relative energy among the computed polymorphs in meV per atom: 0.0
Density of states at the Fermi level in states/eV per cell: 4.8
Calculated total energy in eV/atom: -0.892
E_form in eV/atom: 0.03

abc: 5.8734 9.0244 9.0244
angles: 120.00 90.00 90.00
Last column: nearest neighbours and their distance in Å.
Element x y z (fractional)
Cd1 0.0000 0.3333 0.6667  2 Cd 2.94, 6 Hg 3.19
Cd2 0.5000 0.6667 0.3333  2 Cd 2.94, 6 Hg 3.19
Cd3 0.0000 0.6667 0.3333  2 Cd 2.94, 6 Hg 3.19
Cd4 0.5000 0.3333 0.6667  2 Cd 2.94, 6 Hg 3.19
Cd5 0.7500 0.7169 0.0000  2 Ag 2.95, 5 Hg 3.05-3.07
Cd6 0.7500 0.2831 0.2831  2 Ag 2.95, 5 Hg 3.05-3.07
Cd7 0.7500 0.0000 0.7169  2 Ag 2.95, 5 Hg 3.05-3.07
Cd8 0.2500 0.2831 0.0000  2 Ag 2.95, 5 Hg 3.05-3.07
Cd9 0.2500 0.7169 0.7169  2 Ag 2.95, 5 Hg 3.05-3.07
Cd10 0.2500 0.0000 0.2831  2 Ag 2.95, 5 Hg 3.05-3.07
Ag1 0.0000 0.0000 0.0000  2 Ag 2.94, 6 Cd 2.95
Ag2 0.5000 0.0000 0.0000  2 Ag 2.94, 6 Cd 2.95
Hg1 0.7500 0.3763 0.0000  9 Cd 3.05-3.19
Hg2 0.7500 0.6237 0.6237  9 Cd 3.05-3.19
Hg3 0.7500 0.0000 0.3763  9 Cd 3.05-3.19
Hg4 0.2500 0.6237 0.0000  9 Cd 3.05-3.19
Hg5 0.2500 0.3763 0.3763  9 Cd 3.05-3.19
Hg6 0.2500 0.0000 0.6237  9 Cd 3.05-3.19

Entry 12:
Here is a relaxed structure of MoAs2 from Alexandria via LeMat-Bulk. Energies are from PBE.

Density of states at the Fermi level in states/eV per cell: 4.3
Calculated total energy in eV/atom: -6.715
E_form in eV/atom: -0.01

abc: 4.9801 4.9801 6.7827
angles: 76.45 76.45 38.30
Last column: nearest neighbours and their distance in Å.
Element x y z (fractional)
Mo1 0.9643 0.9643 0.2910  9 As 2.66-2.96
Mo2 0.0357 0.0357 0.7090  9 As 2.66-2.96
As1 0.3428 0.3428 0.5953  5 Mo 2.66-2.80, 3 As 2.92
As2 0.6384 0.6384 0.9515  1 As 2.52, 2 Mo 2.66
As3 0.6572 0.6572 0.4047  5 Mo 2.66-2.80, 3 As 2.92
As4 0.3616 0.3616 0.0485  1 As 2.52, 2 Mo 2.66

Which of these has the lowest calculated total energy?
Tc